(1)
The following is a DFT calculation (PBE) of crystalline Li5PrGa2 at its relaxed geometry.

```
Li5PrGa2
1.0
4.450 0.000 0.000
0.000 7.887 0.000
0.000 0.000 9.520
Li Pr Ga
10 2 4
Cartesian
0.000 0.000 0.000
0.000 2.555 3.192
0.000 2.555 6.327
0.000 5.333 3.192
0.000 5.333 6.327
2.225 1.389 1.568
2.225 1.389 7.952
2.225 3.944 4.760
2.225 6.499 1.568
2.225 6.499 7.952
0.000 3.944 0.000
2.225 0.000 4.760
0.000 0.000 2.596
0.000 0.000 6.924
2.225 3.944 2.164
2.225 3.944 7.356
```

Values from the calculation:
Energy of formation from the pure elements   -0.181 eV/atom
Space-group type   Immm (71)
Magnetization   0.00 μB/cell
Calculated total energy   -2.731 eV per atom
Crystal system   orthorhombic

---

(2)
The following is a DFT calculation (PBE) of crystalline InSeI2O at its relaxed geometry.

```
InSeI2O
1.0
6.029 0.000 0.000
0.000 6.029 0.000
0.000 0.000 3.885
In Se I O
1 1 2 1
Cartesian
0.000 0.000 0.000
3.014 3.014 1.942
0.000 3.014 1.942
3.014 0.000 1.942
3.014 3.014 0.000
```

Values from the calculation:
Space-group type   P4/mmm (123)
Magnetization   0.00 μB/cell
Calculated total energy   -3.019 eV per atom
Crystal system   tetragonal
Relative energy among the computed polymorphs   0.000 eV/atom

---

Number 1: Fermi-level density of states 0.509 states/eV per atom. Number 2: Fermi-level density of states 0.036 states/eV per atom.